# 1
First-principles (PBE-GGA) data for a geometry-optimized H2Ir2Ru structure, as listed in the Alexandria database.

```
data_H2Ir2Ru
_space_group_name_H-M_alt 'P 4/m b m'
_space_group_IT_number 127
_space_group_name_Hall '-P 4 2ab'
_cell_length_a 6.064
_cell_length_b 6.064
_cell_length_c 2.807
_cell_angle_alpha 90.00
_cell_angle_beta 90.00
_cell_angle_gamma 90.00
loop_
_atom_site_label
_atom_site_fract_x
_atom_site_fract_y
_atom_site_fract_z
H1 0.219 0.281 0.000
Ir1 0.150 0.650 0.500
Ru1 0.000 0.000 0.000
```

Values from the calculation:
As for the energy above the most stable polymorph in this dataset: 19 meV per atom. The calculation puts the density of states at the Fermi level at 0.817 states/eV/atom. Its final energy is -63.493 eV per cell.



# 2
First-principles (PBE-GGA) data for a geometry-optimized RbRh4O7 structure, as listed in the Alexandria database.

```
data_RbRh4O7
_space_group_name_H-M_alt 'P m n 21'
_space_group_IT_number 31
_cell_length_a 13.750
_cell_length_b 5.831
_cell_length_c 4.883
_cell_angle_alpha 90.00
_cell_angle_beta 90.00
_cell_angle_gamma 90.00
loop_
_space_group_symop_operation_xyz
'x,y,z'
'-x+1/2,-y,z+1/2'
'-x,y,z'
'x+1/2,-y,z+1/2'
loop_
_atom_site_label
_atom_site_fract_x
_atom_site_fract_y
_atom_site_fract_z
Rb1 0.000 0.247 0.000
Rh1 0.096 0.725 0.532
Rh2 0.249 0.216 0.501
O1 0.000 0.967 0.492
O2 0.117 0.731 0.922
O3 0.149 0.425 0.443
O4 0.222 0.902 0.374
```

Values from the calculation:
The calculation puts the density of states at the Fermi level at 0.485 states/eV/atom. The formation energy from raw total energies is -51.3 kJ per mole of atoms. Its final energy is -142.915 eV per cell.



# 3
First-principles (PBE-GGA) data for a geometry-optimized Ag3TeF structure, as listed in the Alexandria database.

```
data_Ag3TeF
_space_group_name_H-M_alt 'P m -3 m'
_space_group_IT_number 221
_space_group_name_Hall '-P 4 2 3'
_cell_length_a 4.702
_cell_length_b 4.702
_cell_length_c 4.702
_cell_angle_alpha 90.00
_cell_angle_beta 90.00
_cell_angle_gamma 90.00
loop_
_atom_site_label
_atom_site_fract_x
_atom_site_fract_y
_atom_site_fract_z
Ag1 0.000 0.000 0.500
Te1 0.500 0.500 0.500
F1 0.000 0.000 0.000
```

Values from the calculation:
As for the energy above the most stable polymorph in this dataset: 0 meV per atom. The calculation puts the density of states at the Fermi level at 0.076 states/eV/atom. The formation energy from raw total energies is -24.6 kJ per mole of atoms. Its final energy is -14.844 eV per cell.



# 4
First-principles (PBE-GGA) data for a geometry-optimized HIrS2 structure, as listed in the Alexandria database.

```
data_HIrS2
_space_group_name_H-M_alt 'R -3 m'
_space_group_IT_number 166
_space_group_name_Hall '-R 3 2"'
_cell_length_a 2.8313
_cell_length_b 2.8313
_cell_length_c 21.4830
_cell_angle_alpha 90.00
_cell_angle_beta 90.00
_cell_angle_gamma 120.00
loop_
_atom_site_label
_atom_site_fract_x
_atom_site_fract_y
_atom_site_fract_z
H1 0.0000 0.0000 0.0000
Ir1 0.0000 0.0000 0.5000
S1 0.0000 0.0000 0.3956
```

Values from the calculation:
As for the energy above the most stable polymorph in this dataset: 900 meV per atom. The calculation puts the density of states at the Fermi level at 0.413 states/eV/atom. Its final energy is -54.084 eV per cell.



# 5
First-principles (PBE-GGA) data for a geometry-optimized Ce4Tc2Ru structure, as listed in the Alexandria database.

```
data_Ce4Tc2Ru
_space_group_name_H-M_alt 'P 1'
_space_group_IT_number 1
_cell_length_a 6.970
_cell_length_b 7.359
_cell_length_c 7.606
_cell_angle_alpha 107.62
_cell_angle_beta 107.38
_cell_angle_gamma 108.97
loop_
_space_group_symop_operation_xyz
'x,y,z'
loop_
_atom_site_label
_atom_site_fract_x
_atom_site_fract_y
_atom_site_fract_z
Ce1 0.000 0.000 0.000
Ce2 0.005 0.094 0.563
Ce3 0.116 0.732 0.320
Ce4 0.375 0.574 0.662
Ce5 0.433 0.477 0.157
Ce6 0.526 0.964 0.142
Ce7 0.640 0.216 0.822
Ce8 0.799 0.493 0.558
Tc1 0.008 0.317 0.246
Tc2 0.088 0.532 0.941
Tc3 0.404 0.202 0.413
Tc4 0.626 0.924 0.523
Ru1 0.218 0.871 0.780
Ru2 0.714 0.649 0.985
```

Values from the calculation:
The calculation puts the density of states at the Fermi level at 1.227 states/eV/atom. Its final energy is -109.413 eV per cell. The calculated formation energy is -0.14 eV/atom.



# 6
First-principles (PBE-GGA) data for a geometry-optimized DyAlGe2 structure, as listed in the Alexandria database.

```
data_DyAlGe2
_space_group_name_H-M_alt 'I 4/m m m'
_space_group_IT_number 139
_space_group_name_Hall '-I 4 2'
_cell_length_a 4.074
_cell_length_b 4.074
_cell_length_c 19.272
_cell_angle_alpha 90.00
_cell_angle_beta 90.00
_cell_angle_gamma 90.00
loop_
_atom_site_label
_atom_site_fract_x
_atom_site_fract_y
_atom_site_fract_z
Dy1 0.000 0.000 0.114
Al1 0.000 0.500 0.250
Ge1 0.000 0.000 0.341
Ge2 0.000 0.500 0.000
```

Values from the calculation:
The calculation puts the density of states at the Fermi level at 0.249 states/eV/atom. Its final energy is -77.711 eV per cell. The calculated formation energy is -0.46 eV/atom.



# 7
First-principles (PBE-GGA) data for a geometry-optimized La2Sb2Se structure, as listed in the Alexandria database.

```
data_La2Sb2Se
_space_group_name_H-M_alt 'P 4/m b m'
_space_group_IT_number 127
_space_group_name_Hall '-P 4 2ab'
_cell_length_a 8.222
_cell_length_b 8.222
_cell_length_c 4.677
_cell_angle_alpha 90.00
_cell_angle_beta 90.00
_cell_angle_gamma 90.00
loop_
_atom_site_label
_atom_site_fract_x
_atom_site_fract_y
_atom_site_fract_z
La1 0.181 0.319 0.000
Sb1 0.121 0.621 0.500
Se1 0.000 0.000 0.000
```

Values from the calculation:
The calculation puts the density of states at the Fermi level at 0.421 states/eV/atom. The formation energy from raw total energies is -120.3 kJ per mole of atoms. Its final energy is -55.636 eV per cell.



# 8
First-principles (PBE-GGA) data for a geometry-optimized NpTl3Se3 structure, as listed in the Alexandria database.

```
data_NpTl3Se3
_space_group_name_H-M_alt 'P 1 21/m 1'
_space_group_IT_number 11
_cell_length_a 9.003
_cell_length_b 4.255
_cell_length_c 12.322
_cell_angle_alpha 90.00
_cell_angle_beta 90.61
_cell_angle_gamma 90.00
loop_
_space_group_symop_operation_xyz
'x,y,z'
'-x,-y,-z'
'-x,y+1/2,-z'
'x,-y+1/2,z'
loop_
_atom_site_label
_atom_site_fract_x
_atom_site_fract_y
_atom_site_fract_z
Np1 0.124 0.250 0.122
Tl1 0.135 0.250 0.630
Tl2 0.355 0.750 0.367
Tl3 0.372 0.750 0.867
Se1 0.094 0.250 0.889
Se2 0.111 0.250 0.356
Se3 0.343 0.750 0.119
```

Values from the calculation:
The calculation puts the density of states at the Fermi level at 1.466 states/eV/atom. The formation energy from raw total energies is -65.6 kJ per mole of atoms. Its final energy is -70.511 eV per cell.



# 9
First-principles (PBE-GGA) data for a geometry-optimized Ca2TaPb structure, as listed in the Alexandria database.

```
data_Ca2TaPb
_space_group_name_H-M_alt 'C m m 2'
_space_group_IT_number 35
_cell_length_a 4.269
_cell_length_b 5.068
_cell_length_c 10.343
_cell_angle_alpha 90.00
_cell_angle_beta 90.00
_cell_angle_gamma 90.00
loop_
_space_group_symop_operation_xyz
'x,y,z'
'-x,-y,z'
'-x,y,z'
'x,-y,z'
'x+1/2,y+1/2,z'
'-x+1/2,-y+1/2,z'
'-x+1/2,y+1/2,z'
'x+1/2,-y+1/2,z'
loop_
_atom_site_label
_atom_site_fract_x
_atom_site_fract_y
_atom_site_fract_z
Ca1 0.000 0.000 0.000
Ca2 0.000 0.500 0.320
Ta1 0.000 0.000 0.554
Pb1 0.000 0.500 0.757
```

Values from the calculation:
The calculation puts the density of states at the Fermi level at 1.088 states/eV/atom. Its final energy is -36.279 eV per cell. The calculated formation energy is 0.36 eV/atom.



# 10
First-principles (PBE-GGA) data for a geometry-optimized Y2InAs structure, as listed in the Alexandria database.

```
data_Y2InAs
_space_group_name_H-M_alt 'C m c m'
_space_group_IT_number 63
_space_group_name_Hall '-C 2c 2'
_cell_length_a 4.167
_cell_length_b 23.577
_cell_length_c 4.340
_cell_angle_alpha 90.00
_cell_angle_beta 90.00
_cell_angle_gamma 90.00
loop_
_atom_site_label
_atom_site_fract_x
_atom_site_fract_y
_atom_site_fract_z
Y1 0.000 0.072 0.250
Y2 0.000 0.311 0.250
In1 0.000 0.458 0.250
As1 0.000 0.190 0.250
```

Values from the calculation:
As for the energy above the most stable polymorph in this dataset: 0 meV per atom. The calculation puts the density of states at the Fermi level at 0.538 states/eV/atom. Its final energy is -97.043 eV per cell. The calculated formation energy is -0.99 eV/atom.



Please write out number 2 again, unchanged.
First-principles (PBE-GGA) data for a geometry-optimized RbRh4O7 structure, as listed in the Alexandria database.

```
data_RbRh4O7
_space_group_name_H-M_alt 'P m n 21'
_space_group_IT_number 31
_cell_length_a 13.750
_cell_length_b 5.831
_cell_length_c 4.883
_cell_angle_alpha 90.00
_cell_angle_beta 90.00
_cell_angle_gamma 90.00
loop_
_space_group_symop_operation_xyz
'x,y,z'
'-x+1/2,-y,z+1/2'
'-x,y,z'
'x+1/2,-y,z+1/2'
loop_
_atom_site_label
_atom_site_fract_x
_atom_site_fract_y
_atom_site_fract_z
Rb1 0.000 0.247 0.000
Rh1 0.096 0.725 0.532
Rh2 0.249 0.216 0.501
O1 0.000 0.967 0.492
O2 0.117 0.731 0.922
O3 0.149 0.425 0.443
O4 0.222 0.902 0.374
```

Values from the calculation:
The calculation puts the density of states at the Fermi level at 0.485 states/eV/atom. The formation energy from raw total energies is -51.3 kJ per mole of atoms. Its final energy is -142.915 eV per cell.



Which formula does entry 2 have?
RbRh4O7



What did the second record say?
First-principles (PBE-GGA) data for a geometry-optimized RbRh4O7 structure, as listed in the Alexandria database.

```
data_RbRh4O7
_space_group_name_H-M_alt 'P m n 21'
_space_group_IT_number 31
_cell_length_a 13.750
_cell_length_b 5.831
_cell_length_c 4.883
_cell_angle_alpha 90.00
_cell_angle_beta 90.00
_cell_angle_gamma 90.00
loop_
_space_group_symop_operation_xyz
'x,y,z'
'-x+1/2,-y,z+1/2'
'-x,y,z'
'x+1/2,-y,z+1/2'
loop_
_atom_site_label
_atom_site_fract_x
_atom_site_fract_y
_atom_site_fract_z
Rb1 0.000 0.247 0.000
Rh1 0.096 0.725 0.532
Rh2 0.249 0.216 0.501
O1 0.000 0.967 0.492
O2 0.117 0.731 0.922
O3 0.149 0.425 0.443
O4 0.222 0.902 0.374
```

Values from the calculation:
The calculation puts the density of states at the Fermi level at 0.485 states/eV/atom. The formation energy from raw total energies is -51.3 kJ per mole of atoms. Its final energy is -142.915 eV per cell.



The highest final energy belongs to which entry?
Ag3TeF